# 1
Entry from the Open Quantum Materials Database: crystalline Gd4C2N5 at its relaxed geometry (PBE).

Lattice parameters (Å, degrees): 6.204 6.204 8.722 128.72 128.72 32.52
Positions (direct):
N 0.000 0.000 0.500
N 0.696 0.696 0.096
N 0.388 0.388 0.713
N 0.304 0.304 0.904
N 0.612 0.612 0.287
Gd 0.313 0.313 0.388
Gd 0.923 0.923 0.165
Gd 0.687 0.687 0.612
Gd 0.077 0.077 0.835
C 0.577 0.577 0.095
C 0.423 0.423 0.905

Output
- final energy (eV per atom) = -8.233

***

# 2
Entry from the Open Quantum Materials Database: crystalline Sm2GdNi2C2N3 at its relaxed geometry (PBE).

Lattice parameters (Å, degrees): 10.156 10.156 10.156 160.01 160.01 28.41
Positions (direct):
Sm 0.627 0.627 0.000
Sm 0.373 0.373 0.000
C 0.191 0.191 0.000
C 0.809 0.809 0.000
Ni 0.250 0.750 0.500
Ni 0.750 0.250 0.500
N 0.500 0.500 0.000
N 0.880 0.880 0.000
N 0.120 0.120 0.000
Gd 0.000 0.000 0.000

Output
- final energy (eV per atom) = -7.666

***

# 3
Entry from the Open Quantum Materials Database: crystalline SmGdNi2C2N2 at its relaxed geometry (PBE).

Lattice parameters (Å, degrees): 3.513 3.513 7.385 90.00 90.00 90.00
Positions (direct):
Gd 0.000 0.000 0.174
Sm 0.500 0.500 0.825
N 0.000 0.000 0.849
N 0.500 0.500 0.153
Ni 0.000 0.500 0.499
Ni 0.500 0.000 0.499
C 0.500 0.500 0.342
C 0.000 0.000 0.660

Output
- final energy (eV per atom) = -7.550

***

# 4
Entry from the Open Quantum Materials Database: crystalline TbGdNi2C2N2 at its relaxed geometry (PBE).

Lattice parameters (Å, degrees): 3.480 3.480 7.347 90.00 90.00 90.00
Positions (direct):
Tb 0.500 0.500 0.827
N 0.000 0.000 0.850
N 0.500 0.500 0.149
Ni 0.000 0.500 0.501
Ni 0.500 0.000 0.501
Gd 0.000 0.000 0.174
C 0.000 0.000 0.660
C 0.500 0.500 0.340

Output
- final energy (eV per atom) = -7.571

***

# 5
Entry from the Open Quantum Materials Database: crystalline Na3GdC3O9 at its relaxed geometry (PBE).

Lattice parameters (Å, degrees): 9.859 6.487 6.487 114.61 90.00 90.00
Positions (direct):
C 0.750 0.229 0.251
C 0.501 0.893 0.481
C 0.999 0.893 0.481
C 0.499 0.481 0.893
C 0.001 0.481 0.893
C 0.250 0.251 0.229
Na 0.500 0.945 0.945
Na 0.250 0.807 0.215
Na 0.750 0.609 0.644
Na 0.750 0.215 0.807
Na 0.250 0.644 0.609
Na 0.000 0.945 0.945
O 0.250 0.246 0.424
O 0.988 0.909 0.290
O 0.750 0.205 0.439
O 0.615 0.579 0.910
O 0.250 0.061 0.042
O 0.385 0.910 0.579
O 0.750 0.042 0.061
O 0.250 0.439 0.205
O 0.110 0.571 0.852
O 0.488 0.290 0.909
O 0.610 0.852 0.571
O 0.512 0.909 0.290
O 0.012 0.290 0.909
O 0.390 0.571 0.852
O 0.890 0.852 0.571
O 0.750 0.424 0.246
O 0.885 0.579 0.910
O 0.115 0.910 0.579
Gd 0.750 0.786 0.241
Gd 0.250 0.241 0.786

Output
- final energy (eV per atom) = -7.043

***

# 6
Entry from the Open Quantum Materials Database: crystalline GdNb3C2Se2 at its relaxed geometry (PBE).

Lattice parameters (Å, degrees): 3.452 3.452 12.466 90.00 90.00 120.00
Positions (direct):
C 0.667 0.333 0.507
C 0.667 0.333 0.978
Nb 0.333 0.667 0.895
Nb 0.333 0.667 0.589
Nb 0.000 0.000 0.422
Gd 0.000 0.000 0.095
Se 0.333 0.667 0.272
Se 0.000 0.000 0.743

Output
- final energy (eV per atom) = -8.278

***

Question: final energy of number 6 (GdNb3C2Se2)?
Answer: -8.278 eV per atom